Entry 1:
This record from the Alexandria database describes crystalline KIn6Ag2 at its relaxed geometry. The functional is GGA-PBE.

Lattice parameters (Å, degrees): 9.432 9.432 9.432 60.00 60.00 60.00
Fractional coordinates of all 18 atoms:
In 0.007 0.493 0.007
In 0.243 0.757 0.757
In 0.493 0.007 0.007
In 0.757 0.243 0.243
In 0.007 0.493 0.493
In 0.757 0.243 0.757
In 0.243 0.243 0.757
In 0.493 0.007 0.493
In 0.007 0.007 0.493
In 0.493 0.493 0.007
In 0.757 0.757 0.243
In 0.243 0.757 0.243
Ag 0.625 0.125 0.125
Ag 0.125 0.125 0.625
Ag 0.125 0.625 0.125
Ag 0.125 0.125 0.125
K 0.750 0.750 0.750
K 0.500 0.500 0.500

Results
Raw total energy: -21.6 eV per formula unit
DOS(E_F): 0.27 states/eV/atom

Entry 2:
This record from the Alexandria database describes crystalline DyTmLuTh at its relaxed geometry. The functional is GGA-PBE.

Lattice parameters (Å, degrees): 5.607 5.607 5.607 60.00 60.00 60.00
Fractional coordinates of all 4 atoms:
Dy 0.000 0.000 0.000
Lu 0.750 0.750 0.750
Th 0.500 0.500 0.500
Tm 0.250 0.250 0.250

Results
Raw total energy: -20.6 eV per formula unit
DOS(E_F): 1.83 states/eV/atom

Entry 3:
This record from the Alexandria database describes crystalline TcBiSeCl2 at its relaxed geometry. The functional is GGA-PBE.

Lattice parameters (Å, degrees): 4.747 5.254 4.747 90.00 90.00 90.00
Each line ends with the local moment (μB).
Fractional coordinates of all 5 atoms:
Tc 0.000 0.000 0.000  1.78
Cl 0.000 0.000 0.500  0.00
Cl 0.500 0.000 0.000  0.08
Bi 0.500 0.500 0.500  -0.54
Se 0.000 0.500 0.000  0.04

Results
DOS(E_F): 0.93 states/eV/atom
Formation energy from raw total energies: 0.079 eV per atom

Entry 4:
This record from the Alexandria database describes crystalline Ac6TeIr3 at its relaxed geometry. The functional is GGA-PBE.

Lattice parameters (Å, degrees): 4.450 12.857 12.802 108.24 90.00 90.00
Fractional coordinates of all 20 atoms:
Ac 0.750 0.700 0.261
Ac 0.250 0.300 0.739
Ac 0.750 0.150 0.455
Ac 0.750 0.771 0.773
Ac 0.250 0.850 0.545
Ac 0.250 0.229 0.227
Ac 0.750 0.928 0.092
Ac 0.250 0.072 0.908
Ac 0.250 0.530 0.395
Ac 0.250 0.611 0.954
Ac 0.750 0.470 0.605
Ac 0.750 0.389 0.046
Ir 0.750 0.155 0.075
Ir 0.250 0.318 0.500
Ir 0.250 0.845 0.925
Ir 0.750 0.461 0.834
Ir 0.750 0.682 0.500
Ir 0.250 0.539 0.166
Te 0.250 0.940 0.319
Te 0.750 0.060 0.681

Results
DOS(E_F): 0.51 states/eV/atom
Formation energy from raw total energies: -0.791 eV per atom